First-principles (GGA-PBE) data for a geometry-optimized CsTlHgBi structure, as listed in the Alexandria database.

Values from the calculation:
- final energy (eV for the cell shown) = -31.6
- energy relative to the lowest polymorph listed for this composition (meV/atom) = 51.7
- density of states at the Fermi level (states/eV/f.u.) = 3.40
- volume (A^3/atom) = 36.29

Cell lengths 8.3426, 8.3426, 8.3426 Å; angles 90.00, 90.00, 90.00 degrees
Last column: nearest neighbours and their distance in Å.
Space group F-43m (No. 216)
Inequivalent atoms, fractional coordinates:
Cs (0.0000, 0.0000, 0.0000) (multiplicity 4)  4 Hg 3.61, 4 Tl 3.61
Tl (0.2500, 0.2500, 0.7500) (multiplicity 4)  4 Bi 3.61, 4 Cs 3.61
Hg (0.2500, 0.2500, 0.2500) (multiplicity 4)  4 Bi 3.61, 4 Cs 3.61
Bi (0.0000, 0.0000, 0.5000) (multiplicity 4)  4 Tl 3.61, 4 Hg 3.61

First-principles (GGA-PBE) data for a geometry-optimized Dy4Ga12Ni structure, as listed in the Alexandria database.

Values from the calculation:
- final energy (eV for the cell shown) = -140.5
- density of states at the Fermi level (states/eV/f.u.) = 1.49
- volume (A^3/atom) = 18.57

Cell lengths 8.5784, 8.5784, 8.5784 Å; angles 90.00, 90.00, 90.00 degrees
Last column: nearest neighbours and their distance in Å.
Space group Im-3m (No. 229)
Inequivalent atoms, fractional coordinates:
Dy (0.2500, 0.2500, 0.2500) (multiplicity 8)  12 Ga 3.03-3.05
Ga (0.0000, 0.0000, 0.2871) (multiplicity 12)  1 Ni 2.46
Ga (0.0000, 0.2500, 0.5000) (multiplicity 12)  8 Ga 2.82-3.03, 4 Dy 3.03
Ni (0.0000, 0.0000, 0.0000) (multiplicity 2)  6 Ga 2.46

First-principles (GGA-PBE) data for a geometry-optimized Y2Nb2Al structure, as listed in the Alexandria database.

Values from the calculation:
- final energy (eV for the cell shown) = -72.6
- density of states at the Fermi level (states/eV/f.u.) = 5.13
- volume (A^3/atom) = 23.31

Cell lengths 7.2016, 7.2016, 4.4950 Å; angles 90.00, 90.00, 90.00 degrees
Last column: nearest neighbours and their distance in Å.
Space group P4/mbm (No. 127)
Inequivalent atoms, fractional coordinates:
Y (0.1730, 0.3270, 0.0000) (multiplicity 4)  6 Nb 3.00-3.15
Nb (0.1316, 0.6316, 0.5000) (multiplicity 4)  1 Nb 2.68, 2 Al 2.82
Al (0.0000, 0.0000, 0.5000) (multiplicity 2)  4 Nb 2.82

no.,ΔH_f (0 K) (kJ per mole of atoms)
1,-11.8
2,-55.4
3,9.4